Entry from the Alexandria database: CsSc3Mn after structural relaxation (PBEsol).

The crystal system is cubic. Its volume is 129.8 Å³ per cell.

It has space group Pm-3m (No. 221), with a = 5.0631 Å, b = 5.0631 Å, c = 5.0631 Å, α = 90.00°, β = 90.00° and γ = 90.00°. The distinct sites, in fractional coordinates, are Cs at (0.0000, 0.0000, 0.0000), Sc at (0.0000, 0.5000, 0.5000) and Mn at (0.5000, 0.5000, 0.5000).


Entry from the Alexandria database: CaInAu2 after structural relaxation (PBEsol).

The crystal system is tetragonal. Its volume is 83.0 Å³ per cell.

It has space group P4/mmm (No. 123), with a = 4.6785 Å, b = 4.6785 Å, c = 3.7916 Å, α = 90.00°, β = 90.00° and γ = 90.00°. The distinct sites, in fractional coordinates, are Ca at (0.0000, 0.0000, 0.0000), In at (0.5000, 0.5000, 0.0000) and Au at (0.0000, 0.5000, 0.5000).


Entry from the Alexandria database: CdAsW2 after structural relaxation (PBEsol).

Its excess energy over the best structure of this formula in the dataset is 86 meV per atom. The crystal system is orthorhombic. Its volume is 131.8 Å³ per cell.

It has space group Imm2 (No. 44), with a = 3.2732 Å, b = 4.5248 Å, c = 8.8989 Å, α = 90.00°, β = 90.00° and γ = 90.00°. The distinct sites, in fractional coordinates, are Cd at (0.0000, 0.0000, 0.0000), As at (0.0000, 0.5000, 0.2350), W at (0.0000, 0.0000, 0.5087) and W at (0.0000, 0.5000, 0.7725).


Entry from the Alexandria database: CaGdZn2 after structural relaxation (PBEsol).

The crystal system is cubic. Its volume is 360.9 Å³ per cell.

It has space group Fm-3m (No. 225), with a = 7.1198 Å, b = 7.1198 Å, c = 7.1198 Å, α = 90.00°, β = 90.00° and γ = 90.00°. The distinct sites, in fractional coordinates, are Ca at (0.0000, 0.0000, 0.0000), Gd at (0.0000, 0.0000, 0.5000) and Zn at (0.2500, 0.2500, 0.2500).


| no. | electronic total energy (eV per cell) | DOS at the Fermi energy (states/eV per cell) | calculated formation energy (kJ/mol of atoms) |
| --- | --- | --- | --- |
| 1 | -27.8 | 6.23 | 53 |
| 2 | -15.1 | 1.34 | -51 |
| 3 | -62.9 | 4.40 | 59 |
| 4 | -83.4 | 11.57 | -27 |